# 1
The following is a SCAN calculation of ZnIrOs at its PBEsol-relaxed geometry, from Alexandria via LeMat-Bulk.

Cell: 2.7158 2.7158 6.5154 Å, 90.00 90.00 120.00°
Space group P3m1 (No. 156)
Unique sites:
1 Zn 0.0000 0.0000 0.0000 x1
2 Ir 0.3333 0.6667 0.6636 x1
3 Os 0.6667 0.3333 0.3383 x1

Computed properties:
VASP energy ... -52.1172 eV per atom

---

# 2
The following is a SCAN calculation of SnOs2SeO at its PBEsol-relaxed geometry, from Alexandria via LeMat-Bulk.

Cell: 4.9668 4.9668 5.1429 Å, 90.00 90.00 90.00°
Space group P4/mmm (No. 123)
Unique sites:
1 Sn 0.0000 0.0000 0.0000 x1
2 Os 0.0000 0.5000 0.0000 x2
3 Se 0.0000 0.0000 0.5000 x1
4 O 0.5000 0.5000 0.5000 x1

Computed properties:
E_form (uncorrected) ... 2.794 eV per atom
VASP energy ... -38.4046 eV per atom

---

# 3
The following is a SCAN calculation of K2ErAgCl6 at its PBEsol-relaxed geometry, from Alexandria via LeMat-Bulk.

Cell: 10.4114 10.4114 10.4114 Å, 90.00 90.00 90.00°
Space group Fm-3m (No. 225)
Unique sites:
1 K 0.2500 0.2500 0.2500 x8
2 Er 0.0000 0.0000 0.0000 x4
3 Ag 0.0000 0.0000 0.5000 x4
4 Cl 0.0000 0.0000 0.2465 x24

Computed properties:
E_form (uncorrected) ... -1.992 eV per atom
VASP energy ... -16.6155 eV per atom

---

# 4
The following is a SCAN calculation of K3BiF at its PBEsol-relaxed geometry, from Alexandria via LeMat-Bulk.

Cell: 5.3455 5.3455 5.3455 Å, 90.00 90.00 90.00°
Space group Pm-3m (No. 221)
Unique sites:
1 K 0.0000 0.0000 0.5000 x3
2 Bi 0.5000 0.5000 0.5000 x1
3 F 0.0000 0.0000 0.0000 x1

Computed properties:
E_form (uncorrected) ... -1.383 eV per atom
VASP energy ... -22.8039 eV per atom

---

# 5
The following is a SCAN calculation of SnRh2 at its PBEsol-relaxed geometry, from Alexandria via LeMat-Bulk.

Cell: 5.5107 4.1930 8.0190 Å, 90.00 90.00 90.00°
Space group Pnma (No. 62)
Unique sites:
1 Sn 0.1865 0.2500 0.1013 x4
2 Rh 0.0506 0.2500 0.7735 x4
3 Rh 0.1655 0.2500 0.4305 x4

Computed properties:
VASP energy ... -34.8166 eV per atom

---

# 6
The following is a SCAN calculation of LaSc2Be at its PBEsol-relaxed geometry, from Alexandria via LeMat-Bulk.

Cell: 3.5407 4.9232 5.1186 Å, 90.00 90.00 90.00°
Space group Pmmm (No. 47)
Unique sites:
1 La 0.0000 0.0000 0.0000 x1
2 Sc 0.0000 0.5000 0.5000 x1
3 Sc 0.5000 0.5000 0.0000 x1
4 Be 0.5000 0.0000 0.5000 x1

Computed properties:
VASP energy ... -18.7030 eV per atom